[1]
DFT (meta-GGA SCAN) results for a PBEsol-optimized structure of Rb2LiAlF6.

abc: 5.6929 5.6929 5.6929
angles: 60.00 60.00 60.00
Closest atoms and distances in Å follow each position.
Fractional coordinates of all 10 atoms:
Rb 0.2500 0.2500 0.2500  12 F 2.85
Rb 0.7500 0.7500 0.7500  12 F 2.85
Li 0.0000 0.0000 0.0000  6 F 2.19
Al 0.5000 0.5000 0.5000  6 F 1.84
F 0.2715 0.2715 0.7285  1 Al 1.84
F 0.2715 0.7285 0.2715  1 Al 1.84
F 0.2715 0.7285 0.7285  1 Al 1.84
F 0.7285 0.2715 0.2715  1 Al 1.84
F 0.7285 0.2715 0.7285  1 Al 1.84
F 0.7285 0.7285 0.2715  1 Al 1.84

Computed properties:
The calculation puts the formation energy without anion corrections at -3426 meV/atom.

[2]
DFT (meta-GGA SCAN) results for a PBEsol-optimized structure of Cu5Ag.

abc: 4.2221 6.8118 6.8118
angles: 22.03 90.00 90.00
Closest atoms and distances in Å follow each position.
Fractional coordinates of all 6 atoms:
Cu 0.0000 0.0000 0.0000  8 Cu 2.51-2.71, 4 Ag 2.61
Cu 0.0000 0.3221 0.3221  10 Cu 2.52-2.71, 2 Ag 2.63
Cu 0.0000 0.6605 0.6605  12 Cu 2.51-2.60
Cu 0.5000 0.1117 0.1117  10 Cu 2.46-2.60, 2 Ag 2.65
Cu 0.5000 0.7674 0.7674  10 Cu 2.46-2.60, 2 Ag 2.63
Ag 0.5000 0.4388 0.4388  2 Ag 2.60, 10 Cu 2.61-2.65

Computed properties:
The value obtained for the energy relative to the elements is 0.0910 eV/atom.